(1)
Density functional theory data (PBE) for a geometry-optimized FeHgTe3Pb structure.

Energy above the lowest structure with this stoichiometry = 0.000 eV/atom
V = 30.88 A^3/atom
Space group = Cmcm

a b c (Å): 9.230 9.230 10.556
angles (deg): 90.00 90.00 155.67
Fractional positions:
Fe1 0.000 0.000 0.000
Fe2 0.000 0.000 0.500
Hg1 0.305 0.695 0.750
Hg2 0.695 0.305 0.250
Te1 0.030 0.970 0.750
Te2 0.406 0.594 0.526
Te3 0.406 0.594 0.974
Te4 0.594 0.406 0.026
Te5 0.594 0.406 0.474
Te6 0.970 0.030 0.250
Pb1 0.334 0.666 0.250
Pb2 0.666 0.334 0.750

---

(2)
Density functional theory data (PBE) for a geometry-optimized GdNi2Pd2 structure.

Energy above the lowest structure with this stoichiometry = 0.024 eV/atom
V = 16.88 A^3/atom
E_form = -280 meV per atom
Space group = I4/mmm

a b c (Å): 6.568 6.568 6.568
angles (deg): 146.86 146.86 47.58
Fractional positions:
Gd1 0.000 0.000 0.000
Ni1 0.250 0.750 0.500
Ni2 0.750 0.250 0.500
Pd1 0.390 0.390 0.000
Pd2 0.610 0.610 0.000

---

(3)
Density functional theory data (PBE) for a geometry-optimized TbB4Pt structure.

Energy above the lowest structure with this stoichiometry = 0.020 eV/atom
V = 10.51 A^3/atom
Space group = P6/mmm

a b c (Å): 3.256 3.256 6.869
angles (deg): 90.00 90.00 120.00
Fractional positions:
Tb1 0.000 0.000 0.000
B1 0.333 0.667 0.273
B2 0.333 0.667 0.727
B3 0.667 0.333 0.273
B4 0.667 0.333 0.727
Pt1 0.000 0.000 0.500

---

(4)
Density functional theory data (PBE) for a geometry-optimized Cs3RbZn2Ge2 structure.

VASP energy = -16.20 eV for the cell shown
V = 39.19 A^3/atom
Space group = Pm

a b c (Å): 7.041 6.744 7.056
angles (deg): 90.00 110.64 90.00
Fractional positions:
Cs1 0.000 0.000 0.000
Cs2 0.024 0.500 0.356
Cs3 0.688 0.500 0.688
Rb1 0.336 0.000 0.671
Zn1 0.511 0.250 0.175
Zn2 0.511 0.750 0.175
Ge1 0.290 0.500 0.956
Ge2 0.724 0.000 0.403

---

(5)
Density functional theory data (PBE) for a geometry-optimized ErTmTl2Pt4 structure.

VASP energy = -43.98 eV for the cell shown
V = 20.59 A^3/atom
Space group = P-6m2

a b c (Å): 4.626 4.626 8.891
angles (deg): 90.00 90.00 120.00
Fractional positions:
Er1 0.000 0.000 0.000
Tm1 0.333 0.667 0.500
Tl1 0.667 0.333 0.250
Tl2 0.667 0.333 0.750
Pt1 0.000 0.000 0.345
Pt2 0.000 0.000 0.655
Pt3 0.333 0.667 0.156
Pt4 0.333 0.667 0.844

---

(6)
Density functional theory data (PBE) for a geometry-optimized LuHf structure.

Energy above the lowest structure with this stoichiometry = 1.082 eV/atom
V = 27.84 A^3/atom
E_form = 1168 meV per atom
Space group = Fm-3m

a b c (Å): 4.286 4.286 4.286
angles (deg): 60.00 60.00 60.00
Fractional positions:
Lu1 0.000 0.000 0.000
Hf1 0.500 0.500 0.500

---

(7)
Density functional theory data (PBE) for a geometry-optimized PaGaCo structure.

VASP energy = -18.67 eV for the cell shown
V = 20.67 A^3/atom
Space group = F-43m

a b c (Å): 4.443 4.443 4.443
angles (deg): 60.00 60.00 60.00
Fractional positions:
Pa1 0.000 0.000 0.000
Ga1 0.250 0.250 0.250
Co1 0.500 0.500 0.500

---

(8)
Density functional theory data (PBE) for a geometry-optimized YHf3C2Se2 structure.

VASP energy = -70.98 eV for the cell shown
V = 16.87 A^3/atom
Space group = P3m1

a b c (Å): 3.493 3.493 12.772
angles (deg): 90.00 90.00 120.00
Fractional positions:
Y1 0.000 0.000 0.000
Hf1 0.000 0.000 0.313
Hf2 0.333 0.667 0.497
Hf3 0.333 0.667 0.800
C1 0.667 0.333 0.405
C2 0.667 0.333 0.885
Se1 0.000 0.000 0.647
Se2 0.333 0.667 0.167

---

Number 3 is which compound? TbB4Pt

---

What is the V in the seventh record? 20.67 A^3/atom

---

What is the V in the fifth record? 20.59 A^3/atom

---

The lowest V belongs to which entry? TbB4Pt